20
Lattice="5.8351 0.0000 0.0000 0.0000 7.6457 0.0000 0.0000 0.0000 8.7209" Properties=species:S:1:pos:R:3 comment="Sm2SbPRh6 GGA-PBE relaxed" crystal_system=orthorhombic total_energy_ev_per_atom=-6.96 e_form_raw_mev_per_atom=-653 pbc="T T T"
Sm 2.9176 5.5912 2.3578
Sm 0.0000 2.0546 6.7183
Sm 2.9176 5.5912 6.3631
Sm 0.0000 2.0546 2.0027
Sb 0.0000 5.3633 4.3605
Sb 2.9176 2.2824 0.0000
P 2.9176 1.6387 4.3605
P 0.0000 6.0070 0.0000
Rh 2.9176 0.8966 2.1977
Rh 2.9176 0.8966 6.5232
Rh 0.0000 6.7491 2.1628
Rh 0.0000 6.7491 6.5582
Rh 1.3566 0.0371 4.3605
Rh 4.4785 0.0371 4.3605
Rh 1.3881 3.2181 4.3605
Rh 4.4470 3.2181 4.3605
Rh 4.3057 4.4276 0.0000
Rh 1.5294 4.4276 0.0000
Rh 1.5610 7.6086 0.0000
Rh 4.2741 7.6086 0.0000